No. 1
Entry from Alexandria: a geometry-optimized Al3PdPt structure (PBE-GGA).

DOS at the Fermi energy: 0.219 states/eV/atom
Magnetization: 0.0000 μB per atom
Crystal system: cubic
Uncorrected energy: -23.197 eV per cell
E above lowest polymorph: 0.00 kJ/mol of atoms
Formation energy: -147 meV per atom

a b c (Å): 4.6956 4.6956 4.6956
angles (deg): 90.00 90.00 90.00
Closest atoms and distances in Å follow each position.
Fractional positions:
1 Pd 0.5000 0.5000 0.5000  12 Al 3.32
2 Pt 0.0000 0.0000 0.0000  6 Al 2.35
3 Al 0.0000 0.5000 0.0000  2 Pt 2.35
4 Al 0.0000 0.0000 0.5000  2 Pt 2.35
5 Al 0.5000 0.0000 0.0000  2 Pt 2.35

No. 2
Entry from Alexandria: a geometry-optimized Ca2HfNbAs4 structure (PBE-GGA).

DOS at the Fermi energy: 0.358 states/eV/atom
Magnetization: 0.0000 μB per atom
Crystal system: monoclinic
Uncorrected energy: -50.293 eV per cell
Formation energy: -959 meV per atom

a b c (Å): 3.8579 6.7067 7.2108
angles (deg): 107.91 90.00 90.00
Closest atoms and distances in Å follow each position.
Fractional positions:
1 Ca 0.5000 0.0000 0.5000  6 As 2.94
2 Ca 0.0000 0.5000 0.5000  6 As 2.91-2.92
3 Hf 0.0000 0.0000 0.0000  6 As 2.72-2.73
4 Nb 0.5000 0.5000 0.0000  6 As 2.69
5 As 0.5000 0.2449 0.2242  1 Nb 2.69, 2 Hf 2.72, 3 Ca 2.92-2.94
6 As 0.5000 0.7551 0.7758  1 Nb 2.69, 2 Hf 2.72, 3 Ca 2.92-2.94
7 As 0.0000 0.2631 0.7775  2 Nb 2.69, 1 Hf 2.73, 3 Ca 2.91-2.94
8 As 0.0000 0.7369 0.2225  2 Nb 2.69, 1 Hf 2.73, 3 Ca 2.91-2.94

No. 3
Entry from Alexandria: a geometry-optimized TmCu5Sn structure (PBE-GGA).

DOS at the Fermi energy: 0.220 states/eV/atom
Magnetization: 0.0000 μB per atom
Crystal system: orthorhombic
Uncorrected energy: -122.935 eV per cell
Formation energy: -254 meV per atom

a b c (Å): 4.9786 8.1998 10.5806
angles (deg): 90.00 90.00 90.00
Closest atoms and distances in Å follow each position.
Fractional positions:
1 Tm 0.2500 0.7487 0.0629  10 Cu 2.86-3.17
2 Tm 0.7500 0.2513 0.9371  10 Cu 2.86-3.17
3 Tm 0.7500 0.7513 0.5629  10 Cu 2.86-3.17
4 Tm 0.2500 0.2487 0.4371  10 Cu 2.86-3.17
5 Cu 0.2500 0.8154 0.7414  7 Cu 2.49-2.60
6 Cu 0.7500 0.1846 0.2586  7 Cu 2.49-2.60
7 Cu 0.7500 0.6846 0.2414  7 Cu 2.49-2.60
8 Cu 0.2500 0.3154 0.7586  7 Cu 2.49-2.60
9 Cu 0.5015 0.5686 0.8126  7 Cu 2.47-2.57, 1 Sn 2.75
10 Cu 0.4985 0.4314 0.1874  7 Cu 2.47-2.57, 1 Sn 2.75
11 Cu 0.4985 0.9314 0.3126  7 Cu 2.47-2.57, 1 Sn 2.75
12 Cu 0.0015 0.4314 0.1874  7 Cu 2.47-2.57, 1 Sn 2.75
13 Cu 0.5015 0.0686 0.6874  7 Cu 2.47-2.57, 1 Sn 2.75
14 Cu 0.9985 0.5686 0.8126  7 Cu 2.47-2.57, 1 Sn 2.75
15 Cu 0.9985 0.0686 0.6874  7 Cu 2.47-2.57, 1 Sn 2.75
16 Cu 0.0015 0.9314 0.3126  7 Cu 2.47-2.57, 1 Sn 2.75
17 Cu 0.2500 0.9154 0.5169  5 Cu 2.49-2.53
18 Cu 0.7500 0.0846 0.4831  5 Cu 2.49-2.53
19 Cu 0.7500 0.5846 0.0169  5 Cu 2.49-2.53
20 Cu 0.2500 0.4154 0.9831  5 Cu 2.49-2.53
21 Cu 0.2500 0.5577 0.6007  4 Cu 2.57-2.60, 1 Sn 2.62
22 Cu 0.7500 0.4423 0.3993  4 Cu 2.57-2.60, 1 Sn 2.62
23 Cu 0.7500 0.9423 0.1007  4 Cu 2.57-2.60, 1 Sn 2.62
24 Cu 0.2500 0.0577 0.8993  4 Cu 2.57-2.60, 1 Sn 2.62
25 Sn 0.2500 0.6378 0.3609  8 Cu 2.62-2.82
26 Sn 0.7500 0.3622 0.6391  8 Cu 2.62-2.82
27 Sn 0.7500 0.8622 0.8609  8 Cu 2.62-2.82
28 Sn 0.2500 0.1378 0.1391  8 Cu 2.62-2.82

No. 4
Entry from Alexandria: a geometry-optimized Cr4As3 structure (PBE-GGA).

DOS at the Fermi energy: 0.812 states/eV/atom
Magnetization: 0.7226 μB per atom
Crystal system: hexagonal
Uncorrected energy: -48.376 eV per cell
E above lowest polymorph: 68.11 kJ/mol of atoms
Formation energy: 581 meV per atom

a b c (Å): 5.3898 5.3898 4.4317
angles (deg): 90.00 90.00 120.00
Closest atoms and distances in Å follow each position.
Fractional positions:
1 Cr 0.0000 0.0000 0.2875  1 Cr 1.88
2 Cr 0.0000 0.0000 0.7125  1 Cr 1.88
3 Cr 0.6667 0.3333 0.5000  6 As 2.71
4 Cr 0.3333 0.6667 0.5000  6 As 2.71
5 As 0.0000 0.5000 0.0000  4 As 2.69, 8 Cr 2.71-2.98
6 As 0.5000 0.5000 0.0000  4 As 2.69, 8 Cr 2.71-2.98
7 As 0.5000 0.0000 0.0000  4 As 2.69, 8 Cr 2.71-2.98

No. 5
Entry from Alexandria: a geometry-optimized TbHo2Th4 structure (PBE-GGA).

DOS at the Fermi energy: 1.633 states/eV/atom
Magnetization: 0.0000 μB per atom
Crystal system: tetragonal
Uncorrected energy: -82.437 eV per cell
E above lowest polymorph: 0.00 kJ/mol of atoms
Formation energy: 321 meV per atom

a b c (Å): 5.5276 9.2986 9.2986
angles (deg): 90.00 90.00 90.00
Closest atoms and distances in Å follow each position.
Fractional positions:
1 Tb 0.5000 0.0000 0.0000  4 Ho 3.65, 4 Th 3.68
2 Tb 0.0000 0.5000 0.5000  4 Ho 3.65, 4 Th 3.68
3 Ho 0.0000 0.1818 0.8182  6 Th 3.35-3.37, 2 Tb 3.65
4 Ho 0.0000 0.8182 0.1818  6 Th 3.35-3.37, 2 Tb 3.65
5 Ho 0.5000 0.6818 0.6818  6 Th 3.35-3.37, 2 Tb 3.65
6 Ho 0.5000 0.3182 0.3182  6 Th 3.35-3.37, 2 Tb 3.65
7 Th 0.0000 0.1236 0.3768  6 Th 3.25-3.59, 3 Ho 3.35-3.37
8 Th 0.0000 0.8764 0.6232  6 Th 3.25-3.59, 3 Ho 3.35-3.37
9 Th 0.5000 0.1232 0.6236  6 Th 3.25-3.59, 3 Ho 3.35-3.37
10 Th 0.5000 0.8768 0.3764  6 Th 3.25-3.59, 3 Ho 3.35-3.37
11 Th 0.5000 0.3764 0.8768  6 Th 3.25-3.59, 3 Ho 3.35-3.37
12 Th 0.5000 0.6236 0.1232  6 Th 3.25-3.59, 3 Ho 3.35-3.37
13 Th 0.0000 0.3768 0.1236  6 Th 3.25-3.59, 3 Ho 3.35-3.37
14 Th 0.0000 0.6232 0.8764  6 Th 3.25-3.59, 3 Ho 3.35-3.37

No. 6
Entry from Alexandria: a geometry-optimized Ba2LiTmCu3O7 structure (PBE-GGA).

E_form (uncorrected): -1.6967 eV/atom
DOS at the Fermi energy: 0.338 states/eV/atom
Magnetization: 0.0020 μB per atom
Crystal system: orthorhombic
Uncorrected energy: -80.980 eV per cell
E above lowest polymorph: 6.32 kJ/mol of atoms

a b c (Å): 3.8863 3.8906 13.0715
angles (deg): 90.00 90.00 90.00
Closest atoms and distances in Å follow each position.
Fractional positions:
1 Ba 0.5000 0.5000 0.8922  6 O 2.60-2.79, 2 Li 2.86
2 Ba 0.5000 0.5000 0.2036  10 O 2.78-3.05
3 Li 0.5000 0.0000 0.7314  1 O 1.81
4 Tm 0.5000 0.5000 0.4858  8 O 2.33-2.44
5 Cu 0.0000 0.0000 0.3606  4 O 1.95-1.96
6 Cu 0.0000 0.0000 0.5967  4 O 1.94-1.95
7 Cu 0.0000 0.0000 0.0264  3 O 1.89-1.94
8 O 0.0000 0.5000 0.5848  2 Cu 1.95
9 O 0.0000 0.0000 0.1713  1 Cu 1.89
10 O 0.0000 0.5000 0.3734  2 Cu 1.95
11 O 0.5000 0.0000 0.5926  1 Li 1.81, 2 Cu 1.94
12 O 0.5000 0.0000 0.3806  2 Cu 1.96
13 O 0.0000 0.0000 0.8541  1 Cu 2.25, 2 Li 2.52
14 O 0.5000 0.0000 0.0241  2 Cu 1.94

No. 7
Entry from Alexandria: a geometry-optimized MgAgAu3 structure (PBE-GGA).

DOS at the Fermi energy: 0.208 states/eV/atom
Magnetization: 0.0000 μB per atom
Crystal system: orthorhombic
Uncorrected energy: -30.057 eV per cell
E above lowest polymorph: 0.00 kJ/mol of atoms
Formation energy: -150 meV per atom

a b c (Å): 5.2318 5.6041 7.5378
angles (deg): 111.82 90.00 90.00
Closest atoms and distances in Å follow each position.
Fractional positions:
1 Mg 0.7500 0.1805 0.3609  8 Au 2.73-3.01, 2 Ag 2.83
2 Mg 0.2500 0.8195 0.6391  8 Au 2.73-3.01, 2 Ag 2.83
3 Ag 0.7500 0.6505 0.3010  2 Mg 2.83, 6 Au 2.96-3.12
4 Ag 0.2500 0.3495 0.6990  2 Mg 2.83, 6 Au 2.96-3.12
5 Au 0.7500 0.5945 0.6973  3 Mg 2.73-3.01, 4 Au 2.76-2.87, 2 Ag 2.96
6 Au 0.7500 0.1028 0.6973  3 Mg 2.73-3.01, 4 Au 2.76-2.87, 2 Ag 2.96
7 Au 0.2500 0.8972 0.3027  3 Mg 2.73-3.01, 4 Au 2.76-2.87, 2 Ag 2.96
8 Au 0.2500 0.4055 0.3027  3 Mg 2.73-3.01, 4 Au 2.76-2.87, 2 Ag 2.96
9 Au 0.0000 0.0000 0.0000  6 Au 2.62-2.87, 2 Mg 2.84
10 Au 0.5000 0.0000 0.0000  6 Au 2.62-2.87, 2 Mg 2.84

No. 8
Entry from Alexandria: a geometry-optimized Ta2Re2Si structure (PBE-GGA).

E_form (uncorrected): 0.3661 eV/atom
DOS at the Fermi energy: 1.059 states/eV/atom
Magnetization: 0.0002 μB per atom
Crystal system: tetragonal
Uncorrected energy: -104.388 eV per cell
E above lowest polymorph: 0.00 kJ/mol of atoms

a b c (Å): 7.4311 7.4311 3.1246
angles (deg): 90.00 90.00 90.00
Closest atoms and distances in Å follow each position.
Fractional positions:
1 Re 0.3606 0.8606 0.0000  6 Ta 2.63-2.72, 2 Si 2.87, 1 Re 2.93
2 Re 0.8606 0.6394 0.0000  6 Ta 2.63-2.72, 2 Si 2.87, 1 Re 2.93
3 Re 0.6394 0.1394 0.0000  6 Ta 2.63-2.72, 2 Si 2.87, 1 Re 2.93
4 Re 0.1394 0.3606 0.0000  6 Ta 2.63-2.72, 2 Si 2.87, 1 Re 2.93
5 Si 0.0000 0.0000 0.0000  4 Re 2.87, 2 Si 3.12, 8 Ta 3.20
6 Si 0.5000 0.5000 0.0000  4 Re 2.87, 2 Si 3.12, 8 Ta 3.20
7 Ta 0.1590 0.6590 0.5000  6 Re 2.63-2.72
8 Ta 0.6590 0.8410 0.5000  6 Re 2.63-2.72
9 Ta 0.8410 0.3410 0.5000  6 Re 2.63-2.72
10 Ta 0.3410 0.1590 0.5000  6 Re 2.63-2.72

No. 9
Entry from Alexandria: a geometry-optimized Ce2ZnInCo structure (PBE-GGA).

DOS at the Fermi energy: 1.553 states/eV/atom
Magnetization: 0.1226 μB per atom
Crystal system: monoclinic
Uncorrected energy: -48.868 eV per cell
Formation energy: -290 meV per atom

a b c (Å): 4.5755 6.9016 7.5383
angles (deg): 107.27 90.00 90.00
Closest atoms and distances in Å follow each position.
Fractional positions:
1 Ce 0.7500 0.8524 0.6650  3 Co 2.96-3.00, 2 Zn 3.07, 1 Ce 3.19, 2 In 3.28
2 Ce 0.7500 0.7310 0.0420  1 Co 2.34
3 Ce 0.2500 0.1476 0.3350  3 Co 2.96-3.00, 2 Zn 3.07, 1 Ce 3.19, 2 In 3.28
4 Ce 0.2500 0.2690 0.9580  1 Co 2.34
5 Zn 0.2500 0.5714 0.7056  1 Co 2.53, 2 In 2.78
6 Zn 0.7500 0.4286 0.2944  1 Co 2.53, 2 In 2.78
7 In 0.2500 0.6681 0.3484  3 Zn 2.78-2.96
8 In 0.7500 0.3319 0.6516  3 Zn 2.78-2.96
9 Co 0.2500 0.9237 0.9340  1 Ce 2.34, 1 Zn 2.53, 2 Co 2.59
10 Co 0.7500 0.0763 0.0660  1 Ce 2.34, 1 Zn 2.53, 2 Co 2.59

No. 10
Entry from Alexandria: a geometry-optimized YAgHg2 structure (PBE-GGA).

DOS at the Fermi energy: 0.694 states/eV/atom
Magnetization: 0.0000 μB per atom
Crystal system: monoclinic
Uncorrected energy: -10.745 eV per cell
Formation energy: -206 meV per atom

a b c (Å): 4.9319 3.3769 5.7981
angles (deg): 89.81 90.00 90.00
Closest atoms and distances in Å follow each position.
Fractional positions:
1 Ag 0.5000 0.9969 0.7467  4 Hg 2.81-2.99
2 Hg 0.0000 0.0000 0.9895  2 Ag 2.84, 2 Hg 2.93
3 Hg 0.5000 0.0029 0.2619  2 Ag 2.81-2.99, 2 Hg 2.93
4 Y 0.0000 0.5003 0.5019  8 Hg 3.29-3.42, 4 Ag 3.31, 2 Y 3.38

No. 11
Entry from Alexandria: a geometry-optimized Mg5AgPb structure (PBE-GGA).

DOS at the Fermi energy: 0.315 states/eV/atom
Magnetization: 0.0000 μB per atom
Crystal system: tetragonal
Uncorrected energy: -14.897 eV per cell
E above lowest polymorph: 0.00 kJ/mol of atoms
Formation energy: -52 meV per atom

a b c (Å): 4.6405 4.6405 7.7244
angles (deg): 90.00 90.00 90.00
Closest atoms and distances in Å follow each position.
Fractional positions:
1 Mg 0.5000 0.5000 0.0000  8 Mg 3.25, 4 Pb 3.28
2 Mg 0.5000 0.0000 0.2948  2 Ag 2.81
3 Mg 0.0000 0.5000 0.2948  2 Ag 2.81
4 Mg 0.5000 0.0000 0.7052  2 Ag 2.81
5 Mg 0.0000 0.5000 0.7052  2 Ag 2.81
6 Ag 0.0000 0.0000 0.5000  8 Mg 2.81
7 Pb 0.0000 0.0000 0.0000  12 Mg 3.25-3.28

No. 12
Entry from Alexandria: a geometry-optimized RbP2S2 structure (PBE-GGA).

E_form (uncorrected): 0.1672 eV/atom
DOS at the Fermi energy: 0.770 states/eV/atom
Magnetization: 0.2054 μB per atom
Crystal system: tetragonal
Uncorrected energy: -19.206 eV per cell
E above lowest polymorph: 0.00 kJ/mol of atoms

a b c (Å): 4.9111 4.9111 4.6016
angles (deg): 90.00 90.00 90.00
Closest atoms and distances in Å follow each position.
Fractional positions:
1 P 0.0000 0.0000 0.0000  2 P 2.30, 4 S 2.46
2 P 0.0000 0.0000 0.5000  2 P 2.30
3 S 0.0000 0.5000 0.0000  2 P 2.46
4 S 0.5000 0.0000 0.0000  2 P 2.46
5 Rb 0.5000 0.5000 0.5000  8 S 3.37, 4 P 3.47

Q: uncorrected energy of number 1 (Al3PdPt)?
A: -23.197 eV per cell

Q: The lowest DOS at the Fermi energy belongs to which entry?
A: MgAgAu3